No. 1
An optimized crystal structure of HoVSb2. Source: Alexandria, functional PBE-GGA.

Cell lengths 4.1890, 4.1890, 19.7380 Å; angles 90.00, 90.00, 120.00 degrees
Last column: nearest neighbours and their distance in Å.
Space group R-3m (No. 166, hexagonal axes)
Asymmetric unit:
Ho: 0.0000 0.0000 0.0000 [3 per cell]  6 Sb 3.06
V: 0.0000 0.0000 0.5000 [3 per cell]  6 Sb 2.80
Sb: 0.0000 0.0000 0.2379 [6 per cell]  3 V 2.80, 3 Ho 3.06

Summary:
Its density of states at the Fermi level is 4.2 states/eV/f.u. Its total moment is 6.1 Bohr magnetons per cell. The crystal system is trigonal. As for the raw total energy: -5.920 eV per atom.

No. 2
An optimized crystal structure of YHo4Sb5. Source: Alexandria, functional PBE-GGA.

Cell lengths 4.3739, 6.1822, 21.8625 Å; angles 90.00, 90.00, 90.00 degrees
Last column: nearest neighbours and their distance in Å.
Space group Immm (No. 71)
Asymmetric unit:
Y: 0.0000 0.0000 0.0000 [2 per cell]  6 Sb 3.09-3.10
Ho: 0.0000 0.0000 0.2003 [4 per cell]  6 Sb 3.09
Ho: 0.0000 0.0000 0.4000 [4 per cell]  6 Sb 3.09
Sb: 0.0000 0.5000 0.0000 [2 per cell]  2 Y 3.09, 4 Ho 3.09
Sb: 0.0000 0.5000 0.1999 [4 per cell]  6 Ho 3.09
Sb: 0.0000 0.5000 0.3994 [4 per cell]  4 Ho 3.09, 2 Y 3.10

Summary:
Its density of states at the Fermi level is 2.0 states/eV/f.u. Its total moment is 0.0 Bohr magnetons per cell. The crystal system is orthorhombic. As for the raw total energy: -5.664 eV per atom.

No. 3
An optimized crystal structure of Y2Ho2Sb3. Source: Alexandria, functional PBE-GGA.

Cell lengths 9.1849, 9.1849, 9.1849 Å; angles 90.00, 90.00, 90.00 degrees
Last column: nearest neighbours and their distance in Å.
Space group I2_13 (No. 199)
Asymmetric unit:
Y: 0.0727 0.0727 0.0727 [8 per cell]  6 Sb 3.07-3.29
Ho: 0.1779 0.3221 0.6779 [8 per cell]  6 Sb 3.07-3.29
Sb: 0.0000 0.2500 0.3758 [12 per cell]  4 Ho 3.07-3.29, 4 Y 3.07-3.29

Summary:
Its density of states at the Fermi level is 7.5 states/eV/f.u. Its total moment is 0.0 Bohr magnetons per cell. The crystal system is cubic. As for the raw total energy: -5.920 eV per atom.

No. 4
An optimized crystal structure of Y3Ho4Sb4. Source: Alexandria, functional PBE-GGA.

Cell lengths 4.0470, 9.1297, 17.1881 Å; angles 90.00, 90.00, 90.00 degrees
Last column: nearest neighbours and their distance in Å.
Space group Immm (No. 71)
Asymmetric unit:
Y: 0.0000 0.0000 0.0000 [2 per cell]  4 Sb 3.35
Y: 0.0000 0.5000 0.1007 [4 per cell]  6 Sb 3.09-3.27
Ho: 0.0000 0.3162 0.3311 [8 per cell]  4 Sb 3.07-3.11, 1 Ho 3.36
Sb: 0.0000 0.0000 0.2637 [4 per cell]  2 Y 3.09, 6 Ho 3.09-3.11
Sb: 0.0000 0.2076 0.5000 [4 per cell]  2 Ho 3.07, 6 Y 3.27-3.35

Summary:
Its density of states at the Fermi level is 12.0 states/eV/f.u. Its total moment is 0.0 Bohr magnetons per cell. The crystal system is orthorhombic. As for the raw total energy: -5.693 eV per atom.